This record from Alexandria via LeMat-Bulk describes crystalline BaPuIr4 at its relaxed geometry. The functional is GGA-PBE.

Its energy is -8.826 eV/atom. Its energy of formation is -0.2097 eV/atom.

The space group is F-43m (No. 216) and the conventional cell measures 7.752, 7.752 and 7.752 Å, with angles of 90.00, 90.00 and 90.00 degrees. The distinct sites, in fractional coordinates, are Ba at (0.000, 0.000, 0.000), Pu at (0.250, 0.250, 0.250) and Ir at (0.124, 0.124, 0.624).